1.
VASP calculation (PBE) on a relaxed Sr2ScMo crystal.

**Calculated formation energy**: 0.91 eV/atom
**Excess energy over the best structure of this formula in the dataset**: 1.79 eV per formula unit
**Crystal system**: tetragonal

Lattice parameters (Å, degrees): 4.6909 4.6909 5.2042 90.00 90.00 90.00
With the nearest neighbours (Å) after each atom.
Space group P4/mmm (No. 123)
Unique sites:
Sr  0.0000  0.5000  0.0000  4 Sr 3.32, 4 Mo 3.50, 4 Sc 3.50
Sc  0.0000  0.0000  0.5000  4 Mo 3.32, 8 Sr 3.50
Mo  0.5000  0.5000  0.5000  4 Sc 3.32, 8 Sr 3.50


2.
VASP calculation (PBE) on a relaxed UBr2O2F2 crystal.

**Raw formation energy**: -2.0240 eV/atom
**Crystal system**: monoclinic

Lattice parameters (Å, degrees): 8.2226 5.9021 6.6695 90.00 95.00 90.00
With the nearest neighbours (Å) after each atom.
Space group C2/m (No. 12)
Unique sites:
U  0.0000  0.0000  0.0000  2 O 1.81
Br  0.1143  0.5000  0.4099  1 Br 2.32
O  0.2123  0.0000  0.0968  1 U 1.81
F  0.0819  0.0000  0.7127  1 U 2.09


| no. | total DFT energy (no corrections) (eV per atom) | spin magnetization (μB/f.u.) |
| --- | --- | --- |
| 1 | -4.22 | 0.76 |
| 2 | -6.07 | 0.00 |